The following is a DFT calculation (GGA-PBE) of a relaxed structure of CdAs2Rh.

Geometry as extended XYZ:
```
4
Lattice="0.000 3.310 3.310 3.310 0.000 3.310 3.310 3.310 0.000" Properties=species:S:1:pos:R:3 pbc="T T T"
Cd 0.000 0.000 0.000
As 3.310 3.310 3.310
As 4.965 4.965 4.965
Rh 1.655 1.655 1.655
```

## Properties
Final energy = -16.468 eV for the cell shown
Formation energy = 1.10 eV/f.u.